1.
This record from the Alexandria database describes a relaxed structure of TaAgRh. The functional is PBE-GGA.

The calculated formation energy comes out at 0.350 eV/atom. Its relative energy among the computed polymorphs is 447 meV/atom. The calculation puts the total magnetic moment at 0.00 μB/f.u.

The structure belongs to space group F-43m (No. 216); the cell edges are 6.141, 6.141 and 6.141 Å and the angles 90.00°, 90.00° and 90.00°. Symmetry generates all atoms from Ta at (0.000, 0.000, 0.000), Ag at (0.000, 0.000, 0.500) and Rh at (0.250, 0.250, 0.750).



2.
This record from the Alexandria database describes a relaxed structure of TaAgRh2. The functional is PBE-GGA.

The calculated formation energy comes out at 0.111 eV/atom. The calculation puts the total magnetic moment at 0.00 μB/f.u.

The structure belongs to space group I-42d (No. 122); the cell edges are 7.044, 7.044 and 5.683 Å and the angles 90.00°, 90.00° and 90.00°. Symmetry generates all atoms from Ta at (0.000, 0.000, 0.000), Ag at (0.000, 0.000, 0.500) and Rh at (0.220, 0.250, 0.125).



3.
This record from the Alexandria database describes a relaxed structure of TaAgRh2. The functional is PBE-GGA.

The calculated formation energy comes out at -0.320 eV/atom. The calculation puts the total magnetic moment at 0.00 μB/f.u.

The structure belongs to space group P4/mmm (No. 123); the cell edges are 3.240, 3.240 and 6.137 Å and the angles 90.00°, 90.00° and 90.00°. Symmetry generates all atoms from Ta at (0.000, 0.000, 0.000), Ag at (0.000, 0.000, 0.500) and Rh at (0.500, 0.500, 0.230).



4.
This record from the Alexandria database describes a relaxed structure of Ta2AgRh2. The functional is PBE-GGA.

The calculated formation energy comes out at -0.126 eV/atom. Its relative energy among the computed polymorphs is 118 meV/atom. The calculation puts the total magnetic moment at 0.00 μB/f.u.

The structure belongs to space group P4/mbm (No. 127); the cell edges are 7.821, 7.821 and 2.839 Å and the angles 90.00°, 90.00° and 90.00°. Symmetry generates all atoms from Ta at (0.147, 0.353, 0.000), Ag at (0.000, 0.000, 0.000) and Rh at (0.145, 0.645, 0.500).



5.
This record from the Alexandria database describes a relaxed structure of TaAg3Rh. The functional is PBE-GGA.

The calculated formation energy comes out at 1.745 eV/atom. Its relative energy among the computed polymorphs is 0 meV/atom. The calculation puts the total magnetic moment at 0.00 μB/f.u.

The structure belongs to space group Pm-3m (No. 221); the cell edges are 4.863, 4.863 and 4.863 Å and the angles 90.00°, 90.00° and 90.00°. Symmetry generates all atoms from Ta at (0.000, 0.000, 0.000), Ag at (0.000, 0.500, 0.500) and Rh at (0.500, 0.500, 0.500).



6.
This record from the Alexandria database describes a relaxed structure of TaAg2Rh. The functional is PBE-GGA.

The calculated formation energy comes out at 0.001 eV/atom. Its relative energy among the computed polymorphs is 0 meV/atom. The calculation puts the total magnetic moment at 0.00 μB/f.u.

The structure belongs to space group P4mm (No. 99); the cell edges are 2.975, 2.975 and 7.795 Å and the angles 90.00°, 90.00° and 90.00°. Symmetry generates all atoms from Ta at (0.000, 0.000, 0.000), Ag at (0.000, 0.000, 0.535), Ag at (0.500, 0.500, 0.275) and Rh at (0.500, 0.500, 0.795).



7.
This record from the Alexandria database describes a relaxed structure of TaAg2Rh. The functional is PBE-GGA.

The calculated formation energy comes out at 0.295 eV/atom. Its relative energy among the computed polymorphs is 294 meV/atom. The calculation puts the total magnetic moment at 0.64 μB/f.u.

The structure belongs to space group R-3m (No. 166, hexagonal axes); the cell edges are 2.8342, 2.8342 and 29.0996 Å and the angles 90.00°, 90.00° and 120.00°. Symmetry generates all atoms from Ta at (0.0000, 0.0000, 0.0000), Ag at (0.0000, 0.0000, 0.2475) and Rh at (0.0000, 0.0000, 0.5000).



8.
This record from the Alexandria database describes a relaxed structure of TaAgRh. The functional is PBE-GGA.

The calculated formation energy comes out at 0.496 eV/atom. Its relative energy among the computed polymorphs is 593 meV/atom. The calculation puts the total magnetic moment at 0.00 μB/f.u.

The structure belongs to space group F-43m (No. 216); the cell edges are 6.163, 6.163 and 6.163 Å and the angles 90.00°, 90.00° and 90.00°. Symmetry generates all atoms from Ta at (0.000, 0.000, 0.000), Ag at (0.250, 0.250, 0.250) and Rh at (0.250, 0.250, 0.750).



9.
This record from the Alexandria database describes a relaxed structure of TaAgRh2. The functional is PBE-GGA.

The calculated formation energy comes out at 0.060 eV/atom. The calculation puts the total magnetic moment at 0.69 μB/f.u.

The structure belongs to space group P4mm (No. 99); the cell edges are 2.809, 2.809 and 8.105 Å and the angles 90.00°, 90.00° and 90.00°. Symmetry generates all atoms from Ta at (0.000, 0.000, 0.000), Ag at (0.500, 0.500, 0.272), Rh at (0.000, 0.000, 0.528) and Rh at (0.500, 0.500, 0.764).



10.
This record from the Alexandria database describes a relaxed structure of TaAgRh2. The functional is PBE-GGA.

The calculated formation energy comes out at -0.032 eV/atom. The calculation puts the total magnetic moment at 0.00 μB/f.u.

The structure belongs to space group P2/m (No. 10); the cell edges are 4.800, 2.847 and 4.996 Å and the angles 90.00°, 112.38° and 90.00°. Symmetry generates all atoms from Ta at (0.000, 0.000, 0.000), Ag at (0.000, 0.500, 0.500), Rh at (0.500, 0.000, 0.500) and Rh at (0.500, 0.500, 0.000).



11.
This record from the Alexandria database describes a relaxed structure of TaAgRh2. The functional is PBE-GGA.

The calculated formation energy comes out at -0.077 eV/atom. The calculation puts the total magnetic moment at 0.00 μB/f.u.

The structure belongs to space group C2/m (No. 12); the cell edges are 8.917, 3.190 and 4.809 Å and the angles 90.00°, 108.27° and 90.00°. Symmetry generates all atoms from Ta at (0.000, 0.000, 0.000), Ag at (0.000, 0.500, 0.500) and Rh at (0.234, 0.500, 0.234).



12.
This record from the Alexandria database describes a relaxed structure of Ta3AgRh. The functional is PBE-GGA.

The calculated formation energy comes out at 2.122 eV/atom. Its relative energy among the computed polymorphs is 967 meV/atom. The calculation puts the total magnetic moment at 0.00 μB/f.u.

The structure belongs to space group Pm-3m (No. 221); the cell edges are 4.821, 4.821 and 4.821 Å and the angles 90.00°, 90.00° and 90.00°. Symmetry generates all atoms from Ta at (0.000, 0.000, 0.500), Ag at (0.000, 0.000, 0.000) and Rh at (0.500, 0.500, 0.500).



13.
This record from the Alexandria database describes a relaxed structure of TaAg2Rh. The functional is PBE-GGA.

The calculated formation energy comes out at 0.188 eV/atom. Its relative energy among the computed polymorphs is 187 meV/atom. The calculation puts the total magnetic moment at 0.00 μB/f.u.

The structure belongs to space group F-43m (No. 216); the cell edges are 6.442, 6.442 and 6.442 Å and the angles 90.00°, 90.00° and 90.00°. Symmetry generates all atoms from Ta at (0.000, 0.000, 0.000), Ag at (0.000, 0.000, 0.500), Ag at (0.250, 0.250, 0.250) and Rh at (0.250, 0.250, 0.750).



14.
This record from the Alexandria database describes a relaxed structure of TaAgRh2. The functional is PBE-GGA.

The calculated formation energy comes out at -0.152 eV/atom. The calculation puts the total magnetic moment at 0.00 μB/f.u.

The structure belongs to space group R-3m (No. 166, hexagonal axes); the cell edges are 2.8962, 2.8962 and 26.9089 Å and the angles 90.00°, 90.00° and 120.00°. Symmetry generates all atoms from Ta at (0.0000, 0.0000, 0.0000), Ag at (0.0000, 0.0000, 0.5000) and Rh at (0.0000, 0.0000, 0.2553).



15.
This record from the Alexandria database describes a relaxed structure of TaAgRh2. The functional is PBE-GGA.

The calculated formation energy comes out at -0.014 eV/atom. The calculation puts the total magnetic moment at 0.00 μB/f.u.

The structure belongs to space group P4mm (No. 99); the cell edges are 3.415, 3.415 and 5.625 Å and the angles 90.00°, 90.00° and 90.00°. Symmetry generates all atoms from Ta at (0.000, 0.000, 0.000), Ag at (0.500, 0.500, 0.304), Rh at (0.000, 0.000, 0.551) and Rh at (0.500, 0.500, 0.813).